The following is a PBE calculation of crystalline KAu2S at its relaxed geometry, from Alexandria.

Summary:
Energy relative to the elements, uncorrected   -0.26 eV per atom

Geometry as CIF:
```
data_KAu2S
_chemical_formula_sum 'K4 Au8 S4'
_space_group_name_H-M_alt 'I 41/a m d'
_space_group_IT_number 141
_cell_length_a 5.4523
_cell_length_b 5.4523
_cell_length_c 16.9854
_cell_angle_alpha 90.00
_cell_angle_beta 90.00
_cell_angle_gamma 90.00
loop_
_space_group_symop_operation_xyz
'x,y,z'
'-x,-y,-z'
'-y+1/4,x+3/4,z+1/4'
'y+1/4,-x+3/4,-z+1/4'
'-x+1/2,-y,z+1/2'
'x+1/2,y,-z+1/2'
'y+1/4,-x+1/4,z+3/4'
'-y+1/4,x+1/4,-z+3/4'
'x,-y,-z'
'-x,y,z'
'-y+1/4,-x+1/4,-z+3/4'
'y+1/4,x+1/4,z+3/4'
'-x+1/2,y,-z+1/2'
'x+1/2,-y,z+1/2'
'y+1/4,x+3/4,-z+1/4'
'-y+1/4,-x+3/4,z+1/4'
'x+1/2,y+1/2,z+1/2'
'-x+1/2,-y+1/2,-z+1/2'
'-y+3/4,x+1/4,z+3/4'
'y+3/4,-x+1/4,-z+3/4'
'-x,-y+1/2,z'
'x,y+1/2,-z'
'y+3/4,-x+3/4,z+1/4'
'-y+3/4,x+3/4,-z+1/4'
'x+1/2,-y+1/2,-z+1/2'
'-x+1/2,y+1/2,z+1/2'
'-y+3/4,-x+3/4,-z+1/4'
'y+3/4,x+3/4,z+1/4'
'-x,y+1/2,-z'
'x,-y+1/2,z'
'y+3/4,x+1/4,-z+3/4'
'-y+3/4,-x+1/4,z+3/4'
loop_
_atom_site_label
_atom_site_type_symbol
_atom_site_fract_x
_atom_site_fract_y
_atom_site_fract_z
K1 K 0.0000 0.2500 0.3750
Au1 Au 0.0000 0.0000 0.0000
S1 S 0.0000 0.2500 0.8750
```